No. 1
DFT (PBE) results for an optimized crystal structure of ZrGa2Ni5.

Cell: 6.066 6.066 6.066 Å, 147.34 113.34 76.22°
Positions (direct):
1 Zr 0.000 0.000 0.000
2 Ga 0.250 0.750 0.500
3 Ga 0.750 0.250 0.500
4 Ni 0.175 0.371 0.804
5 Ni 0.433 0.629 0.804
6 Ni 0.500 0.000 0.500
7 Ni 0.567 0.371 0.196
8 Ni 0.825 0.629 0.196

Values from the calculation:
The magnetic moment comes out at 0.00 Bohr magnetons per cell. The value obtained for the electronic total energy is -46.01 eV for the cell shown. The formation energy from the elements comes out at -313 meV/atom. The space group is No. 71. For the density, the calculation gives 8.0 g/cm3.

No. 2
DFT (PBE) results for an optimized crystal structure of ZrGaNi6.

Cell: 6.365 6.365 10.418 Å, 90.00 90.00 110.15°
Positions (direct):
1 Zr 0.000 0.000 0.246
2 Zr 0.000 0.000 0.754
3 Zr 0.243 0.757 0.500
4 Zr 0.757 0.243 0.500
5 Ga 0.239 0.761 0.000
6 Ga 0.500 0.500 0.245
7 Ga 0.500 0.500 0.755
8 Ga 0.761 0.239 0.000
9 Ni 0.000 0.000 0.000
10 Ni 0.000 0.000 0.500
11 Ni 0.133 0.386 0.121
12 Ni 0.133 0.386 0.879
13 Ni 0.136 0.382 0.370
14 Ni 0.136 0.382 0.630
15 Ni 0.252 0.748 0.243
16 Ni 0.252 0.748 0.757
17 Ni 0.382 0.136 0.370
18 Ni 0.382 0.136 0.630
19 Ni 0.386 0.133 0.121
20 Ni 0.386 0.133 0.879
21 Ni 0.500 0.500 0.000
22 Ni 0.500 0.500 0.500
23 Ni 0.614 0.867 0.121
24 Ni 0.614 0.867 0.879
25 Ni 0.618 0.864 0.370
26 Ni 0.618 0.864 0.630
27 Ni 0.748 0.252 0.243
28 Ni 0.748 0.252 0.757
29 Ni 0.864 0.618 0.370
30 Ni 0.864 0.618 0.630
31 Ni 0.867 0.614 0.121
32 Ni 0.867 0.614 0.879

Values from the calculation:
The magnetic moment comes out at 0.37 Bohr magnetons per cell. The value obtained for the electronic total energy is -196.37 eV for the cell shown. The formation energy from the elements comes out at -354 meV/atom. The space group is No. 65. For the density, the calculation gives 8.6 g/cm3.

No. 3
DFT (PBE) results for an optimized crystal structure of Zr2Ga9Ni3.

Cell: 7.290 7.290 10.312 Å, 111.18 111.18 60.21°
Positions (direct):
1 Zr 0.081 0.247 0.251
2 Zr 0.247 0.081 0.751
3 Zr 0.753 0.919 0.249
4 Zr 0.919 0.753 0.749
5 Ga 0.016 0.861 0.066
6 Ga 0.139 0.984 0.434
7 Ga 0.185 0.356 0.569
8 Ga 0.196 0.584 0.249
9 Ga 0.306 0.477 0.931
10 Ga 0.356 0.185 0.069
11 Ga 0.366 0.634 0.750
12 Ga 0.416 0.804 0.251
13 Ga 0.477 0.306 0.431
14 Ga 0.523 0.694 0.569
15 Ga 0.584 0.196 0.749
16 Ga 0.634 0.366 0.250
17 Ga 0.644 0.815 0.931
18 Ga 0.694 0.523 0.069
19 Ga 0.804 0.416 0.751
20 Ga 0.815 0.644 0.431
21 Ga 0.861 0.016 0.566
22 Ga 0.984 0.139 0.934
23 Ni 0.000 0.500 0.000
24 Ni 0.168 0.664 0.497
25 Ni 0.336 0.832 0.003
26 Ni 0.500 0.000 0.500
27 Ni 0.664 0.168 0.997
28 Ni 0.832 0.336 0.503

Values from the calculation:
The magnetic moment comes out at 0.00 Bohr magnetons per cell. The value obtained for the electronic total energy is -134.68 eV for the cell shown. The formation energy from the elements comes out at -404 meV/atom. The space group is No. 15. For the density, the calculation gives 7.6 g/cm3.

No. 4
DFT (PBE) results for an optimized crystal structure of ZrGa2Ni.

Cell: 5.189 5.189 5.189 Å, 45.74 45.74 45.74°
Positions (direct):
1 Zr 0.000 0.000 0.000
2 Ga 0.219 0.219 0.219
3 Ga 0.781 0.781 0.781
4 Ni 0.500 0.500 0.500

Values from the calculation:
The magnetic moment comes out at 0.00 Bohr magnetons per cell. The value obtained for the electronic total energy is -22.28 eV for the cell shown. The formation energy from the elements comes out at -473 meV/atom. The space group is No. 166. For the density, the calculation gives 7.4 g/cm3.

Which formula does entry 3 have? Zr2Ga9Ni3